(1)
# ScTa PBE relaxed
data_ScTa
_cell_length_a 5.631
_cell_length_b 5.631
_cell_length_c 5.631
_cell_angle_alpha 90.00
_cell_angle_beta 90.00
_cell_angle_gamma 90.00
_space_group_name_H-M_alt 'F m -3 m'
_space_group_IT_number 225
_space_group_name_Hall '-F 4 2 3'
loop_
_atom_site_label
_atom_site_fract_x
_atom_site_fract_y
_atom_site_fract_z
_atom_site_occupancy
Sc1 0.000 0.000 0.000 1
Ta1 0.000 0.000 0.500 1
# - DFT formation energy: 31.5 kcal/mol of atoms
# - Energy: -7.726 eV per atom
# - Polymorph energy (0 for the lowest one): 121.44 kJ per mole of atoms

=====

(2)
# ScTa PBE relaxed
data_ScTa
_cell_length_a 8.654
_cell_length_b 8.654
_cell_length_c 8.654
_cell_angle_alpha 90.00
_cell_angle_beta 90.00
_cell_angle_gamma 90.00
_space_group_name_H-M_alt 'I -4 3 m'
_space_group_IT_number 217
_space_group_name_Hall 'I -4 2 3'
loop_
_atom_site_label
_atom_site_fract_x
_atom_site_fract_y
_atom_site_fract_z
_atom_site_occupancy
Sc1 0.206 0.206 0.206 1
Ta1 0.107 0.107 0.893 1
# - DFT formation energy: 39.5 kcal/mol of atoms
# - Energy: -7.379 eV per atom
# - Polymorph energy (0 for the lowest one): 154.96 kJ per mole of atoms

=====

(3)
# ScTa3 PBE relaxed
data_ScTa3
_cell_length_a 2.9726
_cell_length_b 2.9726
_cell_length_c 30.4682
_cell_angle_alpha 90.00
_cell_angle_beta 90.00
_cell_angle_gamma 120.00
_space_group_name_H-M_alt 'R -3 m'
_space_group_IT_number 166
_space_group_name_Hall '-R 3 2"'
loop_
_atom_site_label
_atom_site_fract_x
_atom_site_fract_y
_atom_site_fract_z
_atom_site_occupancy
Sc1 0.0000 0.0000 0.0000 1
Ta1 0.0000 0.0000 0.2486 1
Ta2 0.0000 0.0000 0.5000 1
# - DFT formation energy: 6.2 kcal/mol of atoms
# - Energy: -10.204 eV per atom
# - Polymorph energy (0 for the lowest one): 14.19 kJ per mole of atoms

=====

(4)
# ScTa PBE relaxed
data_ScTa
_cell_length_a 3.0566
_cell_length_b 3.0566
_cell_length_c 5.0322
_cell_angle_alpha 90.00
_cell_angle_beta 90.00
_cell_angle_gamma 120.00
_space_group_name_H-M_alt 'P -6 m 2'
_space_group_IT_number 187
_space_group_name_Hall 'P -6 2'
loop_
_atom_site_label
_atom_site_fract_x
_atom_site_fract_y
_atom_site_fract_z
_atom_site_occupancy
Sc1 0.0000 0.0000 0.0000 1
Ta1 0.3333 0.6667 0.5000 1
# - DFT formation energy: 4.4 kcal/mol of atoms
# - Energy: -8.903 eV per atom
# - Polymorph energy (0 for the lowest one): 7.86 kJ per mole of atoms

=====

(5)
# ScTa PBE relaxed
data_ScTa
_cell_length_a 6.394
_cell_length_b 6.394
_cell_length_c 6.394
_cell_angle_alpha 90.00
_cell_angle_beta 90.00
_cell_angle_gamma 90.00
_space_group_name_H-M_alt 'F -4 3 m'
_space_group_IT_number 216
_space_group_name_Hall 'F -4 2 3'
loop_
_atom_site_label
_atom_site_fract_x
_atom_site_fract_y
_atom_site_fract_z
_atom_site_occupancy
Sc1 0.000 0.000 0.000 1
Ta1 0.250 0.250 0.750 1
# - DFT formation energy: 65.3 kcal/mol of atoms
# - Energy: -6.262 eV per atom
# - Polymorph energy (0 for the lowest one): 262.70 kJ per mole of atoms

=====

(6)
# Sc2Ta PBE relaxed
data_Sc2Ta
_cell_length_a 3.040
_cell_length_b 4.919
_cell_length_c 8.553
_cell_angle_alpha 90.00
_cell_angle_beta 90.00
_cell_angle_gamma 90.00
_space_group_name_H-M_alt 'P m m m'
_space_group_IT_number 47
loop_
_space_group_symop_operation_xyz
'x,y,z'
'-x,-y,-z'
'-x,-y,z'
'x,y,-z'
'x,-y,-z'
'-x,y,z'
'-x,y,-z'
'x,-y,z'
loop_
_atom_site_label
_atom_site_fract_x
_atom_site_fract_y
_atom_site_fract_z
_atom_site_occupancy
Sc1 0.000 0.000 0.000 1
Sc2 0.000 0.500 0.500 1
Sc3 0.500 0.000 0.325 1
Ta1 0.500 0.500 0.158 1
# - DFT formation energy: 3.3 kcal/mol of atoms
# - Energy: -8.030 eV per atom
# - Polymorph energy (0 for the lowest one): 4.86 kJ per mole of atoms

=====

(7)
# Sc2Ta PBE relaxed
data_Sc2Ta
_cell_length_a 4.8664
_cell_length_b 4.8664
_cell_length_c 6.1792
_cell_angle_alpha 90.00
_cell_angle_beta 90.00
_cell_angle_gamma 120.00
_space_group_name_H-M_alt 'P 63/m m c'
_space_group_IT_number 194
_space_group_name_Hall '-P 6c 2c'
loop_
_atom_site_label
_atom_site_fract_x
_atom_site_fract_y
_atom_site_fract_z
_atom_site_occupancy
Sc1 0.0000 0.0000 0.0000 1
Sc2 0.3333 0.6667 0.2500 1
Ta1 0.3333 0.6667 0.7500 1
# - DFT formation energy: 5.4 kcal/mol of atoms
# - Energy: -7.938 eV per atom
# - Polymorph energy (0 for the lowest one): 13.76 kJ per mole of atoms

=====

(8)
# ScTa3 PBE relaxed
data_ScTa3
_cell_length_a 3.358
_cell_length_b 4.761
_cell_length_c 9.653
_cell_angle_alpha 90.00
_cell_angle_beta 90.00
_cell_angle_gamma 90.00
_space_group_name_H-M_alt 'C m m m'
_space_group_IT_number 65
_space_group_name_Hall '-C 2 2'
loop_
_atom_site_label
_atom_site_fract_x
_atom_site_fract_y
_atom_site_fract_z
_atom_site_occupancy
Sc1 0.000 0.000 0.000 1
Ta1 0.000 0.000 0.500 1
Ta2 0.000 0.500 0.264 1
# - DFT formation energy: 2.8 kcal/mol of atoms
# - Energy: -10.351 eV per atom
# - Polymorph energy (0 for the lowest one): 0.00 kJ per mole of atoms